(1)
Compound: GdErCdCu
Source: the Alexandria database
Functional: GGA-PBE
Structure: relaxed

Cell: 5.128 5.128 5.128 Å, 60.00 60.00 60.00°
Last column: magnetic moment on the atom in μB.
Fractional positions:
Cd (0.750, 0.750, 0.750)  0.00
Gd (0.000, 0.000, 0.000)  7.03
Cu (0.250, 0.250, 0.250)  0.00
Er (0.500, 0.500, 0.500)  -0.01

Values from the calculation:
SG: F-43m, No. 216
crystal system: cubic
uncorrected energy: -0.451 Ry per atom
volume: 23.8 Å³ per atom
energy of formation from the pure elements: -224 meV/atom


(2)
Compound: P2OsPb
Source: the Alexandria database
Functional: GGA-PBE
Structure: relaxed

Cell: 3.112 3.112 8.826 Å, 90.00 90.00 119.60°
Fractional positions:
Os (0.500, 0.500, 0.807)
P (0.000, 0.000, 0.998)
P (0.500, 0.500, 0.186)
Pb (0.000, 0.000, 0.509)

Values from the calculation:
SG: Cmm2, No. 35
crystal system: orthorhombic
uncorrected energy: -0.419 Ry per atom
volume: 18.6 Å³ per atom
energy of formation from the pure elements: 741 meV/atom


(3)
Compound: PdPt4
Source: the Alexandria database
Functional: GGA-PBE
Structure: relaxed

Cell: 4.762 4.762 4.762 Å, 90.00 90.00 90.00°
Fractional positions:
Pt (0.000, 0.000, 0.000)
Pt (0.500, 0.000, 0.500)
Pt (0.000, 0.500, 0.500)
Pt (0.500, 0.500, 0.000)
Pd (0.500, 0.500, 0.500)

Values from the calculation:
energy above the lowest structure with this stoichiometry: 1670.2 meV per atom
SG: Pm-3m, No. 221
crystal system: cubic
uncorrected energy: -0.311 Ry per atom
volume: 21.6 Å³ per atom
energy of formation from the pure elements: 1644 meV/atom


(4)
Compound: CdP2I
Source: the Alexandria database
Functional: GGA-PBE
Structure: relaxed

Cell: 5.673 5.673 8.233 Å, 69.84 69.84 90.00°
Fractional positions:
I (0.000, 0.000, 0.000)
I (0.750, 0.250, 0.500)
P (0.606, 0.125, 0.250)
P (0.144, 0.625, 0.250)
P (0.375, 0.394, 0.750)
P (0.875, 0.856, 0.750)
Cd (0.500, 0.500, 0.000)
Cd (0.250, 0.750, 0.500)

Values from the calculation:
energy above the lowest structure with this stoichiometry: 0.0 meV per atom
SG: I-42d, No. 122
crystal system: tetragonal
uncorrected energy: -0.193 Ry per atom
volume: 28.9 Å³ per atom
energy relative to the elements, uncorrected: 695 meV/atom


(5)
Compound: TmMg2Ag2
Source: the Alexandria database
Functional: GGA-PBE
Structure: relaxed

Cell: 3.460 6.919 9.201 Å, 100.52 100.84 90.00°
Fractional positions:
Tm (0.000, 0.750, 0.000)
Tm (0.000, 0.250, 0.000)
Mg (0.808, 0.653, 0.615)
Mg (0.192, 0.847, 0.385)
Mg (0.192, 0.347, 0.385)
Mg (0.808, 0.153, 0.615)
Ag (0.607, 0.053, 0.215)
Ag (0.607, 0.553, 0.215)
Ag (0.393, 0.947, 0.785)
Ag (0.393, 0.447, 0.785)

Values from the calculation:
energy above the lowest structure with this stoichiometry: 0.0 meV per atom
SG: C2/m, No. 12
crystal system: monoclinic
uncorrected energy: -0.213 Ry per atom
volume: 21.3 Å³ per atom
energy of formation from the pure elements: -230 meV/atom


(6)
Compound: Sm2ScSi3Ni12
Source: the Alexandria database
Functional: GGA-PBE
Structure: relaxed

Cell: 6.320 6.320 6.320 Å, 84.94 84.94 84.94°
Fractional positions:
Sm (0.652, 0.652, 0.652)
Sm (0.348, 0.348, 0.348)
Sc (0.000, 0.000, 0.000)
Si (0.500, 0.000, 0.000)
Si (0.000, 0.500, 0.000)
Si (0.000, 0.000, 0.500)
Ni (0.381, 0.381, 0.909)
Ni (0.811, 0.811, 0.302)
Ni (0.302, 0.811, 0.811)
Ni (0.909, 0.381, 0.381)
Ni (0.811, 0.302, 0.811)
Ni (0.381, 0.909, 0.381)
Ni (0.619, 0.619, 0.091)
Ni (0.189, 0.189, 0.698)
Ni (0.698, 0.189, 0.189)
Ni (0.091, 0.619, 0.619)
Ni (0.189, 0.698, 0.189)
Ni (0.619, 0.091, 0.619)

Values from the calculation:
SG: R-3m, No. 166
crystal system: trigonal
uncorrected energy: -0.430 Ry per atom
volume: 13.9 Å³ per atom
energy relative to the elements, uncorrected: -216 meV/atom


(7)
Compound: Na2TbZn9
Source: the Alexandria database
Functional: GGA-PBE
Structure: relaxed

Cell: 5.382 5.382 9.120 Å, 72.84 72.84 60.00°
Fractional positions:
Na (0.856, 0.856, 0.432)
Na (0.144, 0.144, 0.568)
Tb (0.000, 0.000, 0.000)
Zn (0.666, 0.666, 0.003)
Zn (0.334, 0.334, 0.997)
Zn (0.500, 0.500, 0.500)
Zn (0.416, 0.416, 0.247)
Zn (0.921, 0.416, 0.247)
Zn (0.416, 0.921, 0.247)
Zn (0.584, 0.584, 0.753)
Zn (0.584, 0.079, 0.753)
Zn (0.079, 0.584, 0.753)

Values from the calculation:
SG: R-3m, No. 166
crystal system: trigonal
uncorrected energy: -0.124 Ry per atom
volume: 17.9 Å³ per atom
energy of formation from the pure elements: -130 meV/atom


(8)
Compound: Y7SnS5
Source: the Alexandria database
Functional: GGA-PBE
Structure: relaxed

Cell: 3.963 6.800 23.453 Å, 90.00 90.00 106.94°
Fractional positions:
Y (0.482, 0.965, 0.250)
Y (0.518, 0.036, 0.750)
Y (0.637, 0.274, 0.036)
Y (0.364, 0.727, 0.964)
Y (0.364, 0.727, 0.536)
Y (0.637, 0.274, 0.464)
Y (0.177, 0.353, 0.173)
Y (0.824, 0.648, 0.827)
Y (0.824, 0.648, 0.673)
Y (0.177, 0.353, 0.327)
Y (0.906, 0.812, 0.112)
Y (0.095, 0.189, 0.888)
Y (0.095, 0.189, 0.612)
Y (0.906, 0.812, 0.388)
Sn (0.802, 0.605, 0.250)
Sn (0.198, 0.396, 0.750)
S (0.000, 0.001, 0.000)
S (0.727, 0.453, 0.930)
S (0.274, 0.548, 0.070)
S (0.544, 0.088, 0.360)
S (0.456, 0.913, 0.640)
S (0.000, 0.001, 0.500)
S (0.274, 0.548, 0.430)
S (0.727, 0.453, 0.570)
S (0.456, 0.913, 0.860)
S (0.544, 0.088, 0.140)

Values from the calculation:
SG: Cmcm, No. 63
crystal system: orthorhombic
uncorrected energy: -0.519 Ry per atom
volume: 23.3 Å³ per atom
energy relative to the elements, uncorrected: -1692 meV/atom


(9)
Compound: NbPPd
Source: the Alexandria database
Functional: GGA-PBE
Structure: relaxed

Cell: 6.402 3.523 8.575 Å, 90.00 90.26 90.00°
Fractional positions:
Nb (0.079, 0.000, 0.165)
Nb (0.079, 0.500, 0.665)
Nb (0.746, 0.000, 0.866)
Nb (0.746, 0.500, 0.366)
P (0.357, 0.000, 0.744)
P (0.357, 0.500, 0.244)
P (0.984, 0.000, 0.453)
P (0.984, 0.500, 0.953)
Pd (0.364, 0.000, 0.447)
Pd (0.364, 0.500, 0.947)
Pd (0.587, 0.000, 0.146)
Pd (0.587, 0.500, 0.646)

Values from the calculation:
SG: Cm, No. 8
crystal system: monoclinic
uncorrected energy: -0.546 Ry per atom
volume: 16.1 Å³ per atom
energy of formation from the pure elements: -533 meV/atom


(10)
Compound: EuDy2Sn
Source: the Alexandria database
Functional: GGA-PBE
Structure: relaxed

Cell: 5.457 5.457 5.457 Å, 60.00 60.00 60.00°
Last column: magnetic moment on the atom in μB.
Fractional positions:
Eu (0.500, 0.500, 0.500)  -6.96
Sn (0.000, 0.000, 0.000)  0.03
Dy (0.250, 0.250, 0.250)  -0.25
Dy (0.750, 0.750, 0.750)  -0.25

Values from the calculation:
energy above the lowest structure with this stoichiometry: 145.6 meV per atom
SG: Fm-3m, No. 225
crystal system: cubic
uncorrected energy: -0.448 Ry per atom
volume: 28.7 Å³ per atom
energy of formation from the pure elements: -229 meV/atom


(11)
Compound: OsSeCl
Source: the Alexandria database
Functional: GGA-PBE
Structure: relaxed

Cell: 3.483 3.483 6.720 Å, 90.00 90.00 120.00°
Last column: magnetic moment on the atom in μB.
Fractional positions:
Cl (0.000, 0.000, 0.103)  0.04
Os (0.667, 0.333, 0.346)  0.94
Se (0.333, 0.667, 0.551)  -0.02

Values from the calculation:
SG: P3m1, No. 156
crystal system: trigonal
uncorrected energy: -0.401 Ry per atom
volume: 23.5 Å³ per atom
energy relative to the elements, uncorrected: 58 meV/atom


(12)
Compound: CeMgZrHg
Source: the Alexandria database
Functional: GGA-PBE
Structure: relaxed

Cell: 5.207 5.207 5.207 Å, 60.00 60.00 60.00°
Last column: magnetic moment on the atom in μB.
Fractional positions:
Zr (0.250, 0.250, 0.250)  0.69
Mg (0.000, 0.000, 0.000)  0.01
Hg (0.500, 0.500, 0.500)  0.01
Ce (0.750, 0.750, 0.750)  0.89

Values from the calculation:
SG: F-43m, No. 216
crystal system: cubic
uncorrected energy: -0.300 Ry per atom
volume: 24.9 Å³ per atom
energy of formation from the pure elements: 17 meV/atom


no.,D(E_F) (states/eV per atom)
1,0.869
2,0.784
3,2.355
4,0.435
5,0.428
6,0.662
7,0.467
8,0.605
9,0.311
10,1.266
11,0.731
12,2.151